Density functional theory data (GGA-PBE) for a relaxed structure of MgReSe3.

As for the energy above the lowest structure with this stoichiometry: 0.0 meV per atom. Its volume is 120 Å³/cell. For the formation energy from raw total energies, the calculation gives 0.29 eV/atom.

abc: 4.937 4.937 4.937
angles: 90.00 90.00 90.00
Space group Pm-3m (No. 221)
One atom of each set of equivalent atoms:
Mg: 0.000 0.000 0.000 x1
Re: 0.500 0.500 0.500 x1
Se: 0.000 0.500 0.500 x3

Density functional theory data (GGA-PBE) for a relaxed structure of Ce2TmP3Ir4.

The calculation puts the formation energy at -936 kJ/mol of formula units. Its volume is 180 Å³/cell.

abc: 4.004 4.004 11.239
angles: 90.00 90.00 90.00
Space group P-4m2 (No. 115)
One atom of each set of equivalent atoms:
Ce: 0.000 0.500 0.229 x2
Tm: 0.000 0.000 0.500 x1
P: 0.000 0.500 0.877 x2
P: 0.500 0.500 0.500 x1
Ir: 0.000 0.000 0.000 x1
Ir: 0.000 0.500 0.671 x2
Ir: 0.500 0.500 0.000 x1

Density functional theory data (GGA-PBE) for a relaxed structure of Pm6Sm2Th3.

The calculation puts the formation energy at 184 kJ/mol of formula units. Its volume is 768 Å³/cell.

abc: 6.032 11.356 11.325
angles: 90.00 98.32 90.00
Space group C2/m (No. 12)
One atom of each set of equivalent atoms:
Pm: 0.075 0.158 0.229 x8
Pm: 0.090 0.500 0.269 x4
Sm: 0.000 0.355 0.000 x4
Th: 0.000 0.000 0.500 x2
Th: 0.000 0.323 0.500 x4

> What is the formula in the third record?

Pm6Sm2Th3

> Which formula does entry 2 have?

Ce2TmP3Ir4

Copy entry 3 word for word.
Density functional theory data (GGA-PBE) for a relaxed structure of Pm6Sm2Th3.

The calculation puts the formation energy at 184 kJ/mol of formula units. Its volume is 768 Å³/cell.

abc: 6.032 11.356 11.325
angles: 90.00 98.32 90.00
Space group C2/m (No. 12)
One atom of each set of equivalent atoms:
Pm: 0.075 0.158 0.229 x8
Pm: 0.090 0.500 0.269 x4
Sm: 0.000 0.355 0.000 x4
Th: 0.000 0.000 0.500 x2
Th: 0.000 0.323 0.500 x4